Run P
BRu3Au | GGA-PBE | relaxed

Cell: 4.108 4.108 4.108 Å, 90.00 90.00 90.00°
Sites, in units of the cell vectors:
Ru 0.500 0.000 0.000
Ru 0.000 0.500 0.000
Ru 0.000 0.000 0.500
Au 0.500 0.500 0.500
B 0.000 0.000 0.000

Output
Total magnetization in μB per cell: 1.63
Symmetry: Pm-3m, No. 221



Run Q
BRu3Au | GGA-PBE | relaxed

Cell: 4.881 4.881 4.881 Å, 90.00 90.00 90.00°
Sites, in units of the cell vectors:
B 0.500 0.500 0.500
Ru 0.500 0.000 0.000
Ru 0.000 0.500 0.000
Ru 0.000 0.000 0.500
Au 0.000 0.000 0.000

Output
Total magnetization in μB per cell: 5.45
Symmetry: Pm-3m, No. 221



Best to worst by energy: run P, run Q.